Entry w
A relaxed LaRePd crystal. Source: OQMD via LeMat-Bulk, functional PBE.

The structure in CIF format:
```
data_LaRePd
_cell_length_a 6.6024
_cell_length_b 6.6024
_cell_length_c 6.6024
_cell_angle_alpha 90.00
_cell_angle_beta 90.00
_cell_angle_gamma 90.00
_space_group_name_H-M_alt 'F -4 3 m'
_space_group_IT_number 216
_space_group_name_Hall 'F -4 2 3'
loop_
_atom_site_label
_atom_site_fract_x
_atom_site_fract_y
_atom_site_fract_z
La1 0.0000 0.0000 0.0000
Re1 0.2500 0.2500 0.2500
Pd1 0.2500 0.2500 0.7500
```

=====

Entry x
A relaxed LaRePd crystal. Source: OQMD via LeMat-Bulk, functional PBE.

The structure in CIF format:
```
data_LaRePd
_cell_length_a 6.4869
_cell_length_b 6.4869
_cell_length_c 6.4869
_cell_angle_alpha 90.00
_cell_angle_beta 90.00
_cell_angle_gamma 90.00
_space_group_name_H-M_alt 'F -4 3 m'
_space_group_IT_number 216
_space_group_name_Hall 'F -4 2 3'
loop_
_atom_site_label
_atom_site_fract_x
_atom_site_fract_y
_atom_site_fract_z
La1 0.0000 0.0000 0.0000
Re1 0.2500 0.2500 0.2500
Pd1 0.0000 0.0000 0.5000
```

=====

The least stable of them is entry w.

=====

Entry w
A relaxed La2SmZn2Si4Pd2 crystal. Source: OQMD via LeMat-Bulk, functional PBE.

The structure in CIF format:
```
data_La2SmZn2Si4Pd2
_cell_length_a 4.1945
_cell_length_b 4.2746
_cell_length_c 24.7108
_cell_angle_alpha 90.00
_cell_angle_beta 90.00
_cell_angle_gamma 90.00
_space_group_name_H-M_alt 'I m m m'
_space_group_IT_number 71
_space_group_name_Hall '-I 2 2'
loop_
_atom_site_label
_atom_site_fract_x
_atom_site_fract_y
_atom_site_fract_z
La1 0.0000 0.0000 0.1471
Sm1 0.0000 0.5000 0.5000
Zn1 0.0000 0.0000 0.4039
Si1 0.0000 0.0000 0.3038
Si2 0.0000 0.5000 0.0476
Pd1 0.0000 0.5000 0.2501
```

=====

Entry x
A relaxed La2SmZn2Si4Pd2 crystal. Source: OQMD via LeMat-Bulk, functional PBE.

The structure in CIF format:
```
data_La2SmZn2Si4Pd2
_cell_length_a 4.1477
_cell_length_b 4.2574
_cell_length_c 25.2715
_cell_angle_alpha 90.00
_cell_angle_beta 90.00
_cell_angle_gamma 90.00
_space_group_name_H-M_alt 'I m m m'
_space_group_IT_number 71
_space_group_name_Hall '-I 2 2'
loop_
_atom_site_label
_atom_site_fract_x
_atom_site_fract_y
_atom_site_fract_z
La1 0.0000 0.0000 0.1468
Sm1 0.0000 0.5000 0.0000
Zn1 0.0000 0.5000 0.2500
Si1 0.0000 0.0000 0.3087
Si2 0.0000 0.5000 0.4532
Pd1 0.0000 0.0000 0.4059
```

=====

The least stable of them is entry w.

=====

Entry w
A relaxed La3Zn2Si4Pd2 crystal. Source: OQMD via LeMat-Bulk, functional PBE.

The structure in CIF format:
```
data_La3Zn2Si4Pd2
_cell_length_a 4.2283
_cell_length_b 4.3362
_cell_length_c 24.6717
_cell_angle_alpha 90.00
_cell_angle_beta 90.00
_cell_angle_gamma 90.00
_space_group_name_H-M_alt 'I m m m'
_space_group_IT_number 71
_space_group_name_Hall '-I 2 2'
loop_
_atom_site_label
_atom_site_fract_x
_atom_site_fract_y
_atom_site_fract_z
La1 0.0000 0.0000 0.0000
La2 0.0000 0.5000 0.3517
Zn1 0.0000 0.5000 0.0974
Si1 0.0000 0.0000 0.4515
Si2 0.0000 0.5000 0.1973
Pd1 0.0000 0.0000 0.2498
```

=====

Entry x
A relaxed La3Zn2Si4Pd2 crystal. Source: OQMD via LeMat-Bulk, functional PBE.

The structure in CIF format:
```
data_La3Zn2Si4Pd2
_cell_length_a 4.2004
_cell_length_b 4.2900
_cell_length_c 25.2828
_cell_angle_alpha 90.00
_cell_angle_beta 90.00
_cell_angle_gamma 90.00
_space_group_name_H-M_alt 'I m m m'
_space_group_IT_number 71
_space_group_name_Hall '-I 2 2'
loop_
_atom_site_label
_atom_site_fract_x
_atom_site_fract_y
_atom_site_fract_z
La1 0.0000 0.0000 0.0000
La2 0.0000 0.5000 0.1474
Zn1 0.0000 0.0000 0.2499
Si1 0.0000 0.0000 0.4525
Si2 0.0000 0.5000 0.3081
Pd1 0.0000 0.5000 0.4047
```

=====

The least stable of them is entry w.